[1]
{"formula": "Na3AcY2Te6", "functional": "PBE-GGA", "state": "relaxed", "raw_formation_energy_ev_per_atom": -1.34, "lattice_angstrom": [[7.8805, -0.0036, -0.0059], [-3.9415, 6.8240, -0.0059], [-1.3193, -2.2844, 7.5776]], "species": ["Na", "Y", "Te", "Na", "Te", "Na", "Te", "Te", "Te", "Y", "Te", "Ac"], "fractional_positions": [[0.5000, 0.5000, 0.5000], [0.3324, 0.6676, 0.0000], [0.7277, 0.7277, 0.2373], [0.8380, 0.1620, 0.5000], [0.4312, 0.0798, 0.2371], [0.1620, 0.8380, 0.5000], [0.5688, 0.9202, 0.7629], [0.0798, 0.4312, 0.2371], [0.2723, 0.2723, 0.7627], [0.6676, 0.3324, 0.0000], [0.9202, 0.5688, 0.7629], [0.0000, 0.0000, 0.0000]]}

[2]
{"formula": "Tb2Pm3Er6Zr", "functional": "PBE-GGA", "state": "relaxed", "e_form_ev_per_fu": 0.53, "lattice_angstrom": [[-4.9224, 3.3671, 1.3050], [-0.6249, -5.9292, -1.3134], [3.0153, -1.7278, 11.0831]], "species": ["Er", "Er", "Tb", "Pm", "Er", "Pm", "Tb", "Er", "Pm", "Er", "Er", "Zr"], "fractional_positions": [[0.4069, 0.0805, 0.2428], [0.0805, 0.4069, 0.2428], [0.3332, 0.6668, 0.0000], [0.5000, 0.5000, 0.5000], [0.9195, 0.5931, 0.7572], [0.1661, 0.8339, 0.5000], [0.6668, 0.3332, 0.0000], [0.5931, 0.9195, 0.7572], [0.8339, 0.1661, 0.5000], [0.7544, 0.7544, 0.2425], [0.2456, 0.2456, 0.7575], [0.0000, 0.0000, 0.0000]]}

[3]
{"formula": "PuAg3", "functional": "PBE-GGA", "state": "relaxed", "e_form_ev_per_fu": 0.39, "lattice_angstrom": [[-2.7971, 0.2528, 0.8412], [-0.7083, -4.9629, -0.8635], [1.4829, -1.1285, 5.2697]], "species": ["Pu", "Ag", "Ag", "Ag"], "fractional_positions": [[0.0000, 0.5000, 0.3199], [0.0000, 0.0000, 0.9919], [0.5000, 0.5000, 0.8209], [0.5000, 0.0000, 0.5340]]}

[4]
{"formula": "AgIrCl", "functional": "PBE-GGA", "state": "relaxed", "raw_formation_energy_ev_per_atom": 1.04, "lattice_angstrom": [[4.4297, 0.0000, 0.0000], [2.2149, 3.8363, 0.0000], [2.2149, 1.2788, 3.6169]], "species": ["Ag", "Ir", "Cl"], "fractional_positions": [[0.0000, 0.0000, 0.0000], [0.7500, 0.7500, 0.7500], [0.5000, 0.5000, 0.5000]]}

[5]
{"formula": "Re3RhN", "functional": "PBE-GGA", "state": "relaxed", "raw_formation_energy_ev_per_atom": 0.21, "lattice_angstrom": [[-3.5538, 1.1611, 1.5483], [-1.9122, -2.6049, -2.4356], [0.2978, -2.8707, 2.8364]], "species": ["Rh", "Re", "Re", "N", "Re"], "fractional_positions": [[0.5000, 0.5000, 0.5000], [0.0000, 0.0000, 0.5000], [0.5000, 0.0000, 0.0000], [0.0000, 0.0000, 0.0000], [0.0000, 0.5000, 0.0000]]}

[6]
{"formula": "Na3TaCo", "functional": "PBE-GGA", "state": "relaxed", "e_form_ev_per_fu": 9.68, "lattice_angstrom": [[-4.8495, 0.5903, 1.0541], [-1.1871, -3.1385, -3.7038], [0.2245, -3.8443, 3.1856]], "species": ["Na", "Co", "Na", "Na", "Ta"], "fractional_positions": [[0.0000, 0.5000, 0.0000], [0.0000, 0.0000, 0.0000], [0.5000, 0.0000, 0.0000], [0.0000, 0.0000, 0.5000], [0.5000, 0.5000, 0.5000]]}

[7]
{"formula": "Ca2AlW", "functional": "PBE-GGA", "state": "relaxed", "e_form_ev_per_fu": 1.42, "lattice_angstrom": [[-1.1541, -0.5861, 2.9622], [-2.1972, -2.7126, -1.3927], [6.0963, -5.5897, 1.2692]], "species": ["Ca", "Ca", "Al", "W"], "fractional_positions": [[0.5000, 0.5000, 0.3182], [0.0000, 0.0000, 0.9339], [0.5000, 0.5000, 0.6811], [0.0000, 0.0000, 0.5668]]}

[8]
{"formula": "Ho3GaBi2", "functional": "PBE-GGA", "state": "relaxed", "e_form_ev_per_fu": -2.68, "lattice_angstrom": [[-1.0068, 2.6399, -2.1767], [-5.0814, -3.1603, -1.4824], [-1.4727, 5.1383, 6.9128]], "species": ["Ga", "Bi", "Ho", "Bi", "Ho", "Ho"], "fractional_positions": [[0.0000, 0.0000, 0.0000], [0.5000, 0.3337, 0.6675], [0.0000, 0.5000, 0.0000], [0.5000, 0.6663, 0.3325], [0.5000, 0.8610, 0.7221], [0.5000, 0.1390, 0.2779]]}